{
  "formula": "Cs2DyNbO4",
  "functional": "GGA-PBE",
  "state": "relaxed",
  "lattice_angstrom": [[-1.650, 1.706, 2.544], [-1.307, -2.982, -1.227], [6.979, -6.799, 9.084]],
  "species": ["O", "O", "O", "Nb", "Cs", "Dy", "O", "Cs"],
  "frac_coords": [[0.333, 0.667, 0.428], [0.667, 0.333, 0.914], [0.667, 0.333, 0.572], [0.000, 0.000, 0.500], [0.667, 0.333, 0.257], [0.000, 0.000, 0.000], [0.333, 0.667, 0.086], [0.333, 0.667, 0.743]],
  "e_tot_ha_per_atom": -0.243
}

=====

{
  "formula": "Mg2Au",
  "functional": "GGA-PBE",
  "state": "relaxed",
  "lattice_angstrom": [[-4.932, 0.564, 0.649], [-1.476, -8.280, -4.017], [0.322, -2.151, 4.316]],
  "species": ["Mg", "Mg", "Mg", "Mg", "Mg", "Mg", "Au", "Au", "Au", "Au", "Mg", "Mg"],
  "frac_coords": [[0.350, 0.333, 0.500], [0.313, 0.655, 0.500], [0.520, 0.512, 0.000], [0.001, 0.333, 0.000], [0.483, 0.833, 0.000], [0.520, 0.155, 0.000], [0.014, 0.667, 0.000], [0.820, 0.167, 0.500], [0.820, 0.500, 0.500], [0.014, 0.000, 0.000], [0.832, 0.833, 0.500], [0.313, 0.012, 0.500]],
  "e_tot_ha_per_atom": -0.091
}

=====

{
  "formula": "RbTbSiTe3",
  "functional": "GGA-PBE",
  "state": "relaxed",
  "lattice_angstrom": [[-2.514, 7.814, -0.035], [0.212, -7.087, 4.138], [10.303, 3.338, 5.189]],
  "species": ["Si", "Te", "Tb", "Te", "Si", "Te", "Rb", "Te", "Rb", "Te", "Te", "Tb"],
  "frac_coords": [[0.967, 0.033, 0.250], [0.874, 0.126, 0.447], [0.500, 0.500, 0.000], [0.126, 0.874, 0.553], [0.033, 0.967, 0.750], [0.557, 0.443, 0.250], [0.250, 0.750, 0.250], [0.874, 0.126, 0.053], [0.750, 0.250, 0.750], [0.443, 0.557, 0.750], [0.126, 0.874, 0.947], [0.500, 0.500, 0.500]],
  "e_tot_ha_per_atom": -0.153
}

=====

{
  "formula": "PmPtNO",
  "functional": "GGA-PBE",
  "state": "relaxed",
  "lattice_angstrom": [[-3.321, -2.694, 0.930], [-0.637, -0.804, -4.602], [4.321, -5.218, 0.313]],
  "species": ["Pt", "N", "O", "O", "Pt", "N", "Pm", "Pm"],
  "frac_coords": [[0.000, 0.975, 0.587], [0.000, 0.364, 0.694], [0.500, 0.451, 0.135], [0.500, 0.951, 0.865], [0.000, 0.475, 0.413], [0.000, 0.864, 0.306], [0.500, 0.964, 0.196], [0.500, 0.464, 0.804]],
  "e_tot_ha_per_atom": -0.260,
  "polymorph_energy_ev_per_atom": 0.204
}

=====

{
  "formula": "PmAl3Ir",
  "functional": "GGA-PBE",
  "state": "relaxed",
  "lattice_angstrom": [[-1.926, -8.173, 0.917], [3.022, -0.384, 2.926], [-7.269, 2.594, 7.846]],
  "species": ["Al", "Ir", "Al", "Al", "Ir", "Pm", "Al", "Ir", "Al", "Pm", "Pm", "Al", "Al", "Al", "Pm", "Al", "Al", "Al", "Ir", "Al"],
  "frac_coords": [[0.888, 0.250, 0.287], [0.891, 0.750, 0.854], [0.052, 0.250, 0.917], [0.851, 0.250, 0.724], [0.609, 0.250, 0.354], [0.194, 0.250, 0.482], [0.149, 0.750, 0.276], [0.109, 0.250, 0.146], [0.948, 0.750, 0.083], [0.694, 0.250, 0.018], [0.306, 0.750, 0.982], [0.448, 0.750, 0.417], [0.351, 0.250, 0.776], [0.612, 0.750, 0.787], [0.806, 0.750, 0.518], [0.112, 0.750, 0.713], [0.649, 0.750, 0.224], [0.388, 0.250, 0.213], [0.391, 0.750, 0.646], [0.552, 0.250, 0.583]],
  "e_tot_ha_per_atom": -0.210
}

=====

{
  "formula": "AlZnCd",
  "functional": "GGA-PBE",
  "state": "relaxed",
  "lattice_angstrom": [[-2.312, 1.676, 3.321], [-2.831, 3.261, -0.728], [-4.309, -0.741, 0.262]],
  "species": ["Al", "Zn", "Cd"],
  "frac_coords": [[0.250, 0.250, 0.250], [0.000, 0.000, 0.000], [0.750, 0.750, 0.750]],
  "e_tot_ha_per_atom": -0.068,
  "polymorph_energy_ev_per_atom": 0.000
}